This record from Alexandria via LeMat-Bulk describes a relaxed LiPSe2N crystal. The functional is GGA-PBEsol.

The calculation puts the raw formation energy at 36 meV/atom.

The structure belongs to space group P4/mmm (No. 123); the cell edges are 5.095, 5.095 and 3.170 Å and the angles 90.00°, 90.00° and 90.00°. Symmetry generates all atoms from Li at (0.000, 0.000, 0.000), P at (0.500, 0.500, 0.500), Se at (0.000, 0.500, 0.500) and N at (0.500, 0.500, 0.000).

This record from Alexandria via LeMat-Bulk describes a relaxed LiTe2PN crystal. The functional is GGA-PBEsol.

The calculation puts the raw formation energy at 89 meV/atom.

The structure belongs to space group P4/mmm (No. 123); the cell edges are 5.541, 5.541 and 3.243 Å and the angles 90.00°, 90.00° and 90.00°. Symmetry generates all atoms from Li at (0.000, 0.000, 0.000), Te at (0.000, 0.500, 0.500), P at (0.500, 0.500, 0.500) and N at (0.500, 0.500, 0.000).

This record from Alexandria via LeMat-Bulk describes a relaxed Li3PbN crystal. The functional is GGA-PBEsol.

The calculation puts the raw formation energy at 1120 meV/atom. Its excess energy over the best structure of this formula in the dataset is 1260.7 meV per atom.

The structure belongs to space group Pm-3m (No. 221); the cell edges are 5.317, 5.317 and 5.317 Å and the angles 90.00°, 90.00° and 90.00°. Symmetry generates all atoms from Li at (0.000, 0.000, 0.500), Pb at (0.000, 0.000, 0.000) and N at (0.500, 0.500, 0.500).

This record from Alexandria via LeMat-Bulk describes a relaxed Li3PbN crystal. The functional is GGA-PBEsol.

The calculation puts the raw formation energy at -140 meV/atom. Its excess energy over the best structure of this formula in the dataset is 0.0 meV per atom.

The structure belongs to space group Pm-3m (No. 221); the cell edges are 4.090, 4.090 and 4.090 Å and the angles 90.00°, 90.00° and 90.00°. Symmetry generates all atoms from Li at (0.000, 0.000, 0.500), Pb at (0.500, 0.500, 0.500) and N at (0.000, 0.000, 0.000).

This record from Alexandria via LeMat-Bulk describes a relaxed LiPd3N crystal. The functional is GGA-PBEsol.

The calculation puts the raw formation energy at -99 meV/atom.

The structure belongs to space group Pm-3m (No. 221); the cell edges are 4.055, 4.055 and 4.055 Å and the angles 90.00°, 90.00° and 90.00°. Symmetry generates all atoms from Li at (0.000, 0.000, 0.000), Pd at (0.000, 0.500, 0.500) and N at (0.500, 0.500, 0.500).

This record from Alexandria via LeMat-Bulk describes a relaxed LiPd2N crystal. The functional is GGA-PBEsol.

The calculation puts the raw formation energy at 222 meV/atom.

The structure belongs to space group I4_1/amd (No. 141, origin choice 2); the cell edges are 5.170, 5.170 and 11.403 Å and the angles 90.00°, 90.00° and 90.00°. Symmetry generates all atoms from Li at (0.000, 0.250, 0.375), Pd at (0.000, 0.000, 0.000) and N at (0.000, 0.250, 0.875).

This record from Alexandria via LeMat-Bulk describes a relaxed Li3PdN crystal. The functional is GGA-PBEsol.

The calculation puts the raw formation energy at -103 meV/atom.

The structure belongs to space group Pm-3m (No. 221); the cell edges are 3.826, 3.826 and 3.826 Å and the angles 90.00°, 90.00° and 90.00°. Symmetry generates all atoms from Li at (0.000, 0.000, 0.500), Pd at (0.500, 0.500, 0.500) and N at (0.000, 0.000, 0.000).

This record from Alexandria via LeMat-Bulk describes a relaxed LiPdS2N crystal. The functional is GGA-PBEsol.

The calculation puts the raw formation energy at 417 meV/atom.

The structure belongs to space group P4/mmm (No. 123); the cell edges are 4.923, 4.923 and 3.601 Å and the angles 90.00°, 90.00° and 90.00°. Symmetry generates all atoms from Li at (0.000, 0.000, 0.000), Pd at (0.500, 0.500, 0.500), S at (0.000, 0.500, 0.500) and N at (0.500, 0.500, 0.000).

This record from Alexandria via LeMat-Bulk describes a relaxed LiTi2PdN crystal. The functional is GGA-PBEsol.

The calculation puts the raw formation energy at 1281 meV/atom.

The structure belongs to space group P4/mmm (No. 123); the cell edges are 4.637, 4.637 and 4.205 Å and the angles 90.00°, 90.00° and 90.00°. Symmetry generates all atoms from Li at (0.000, 0.000, 0.000), Ti at (0.000, 0.500, 0.500), Pd at (0.000, 0.000, 0.500) and N at (0.500, 0.500, 0.000).

This record from Alexandria via LeMat-Bulk describes a relaxed Li3PtN crystal. The functional is GGA-PBEsol.

The calculation puts the raw formation energy at 39 meV/atom.

The structure belongs to space group Pm-3m (No. 221); the cell edges are 3.813, 3.813 and 3.813 Å and the angles 90.00°, 90.00° and 90.00°. Symmetry generates all atoms from Li at (0.000, 0.000, 0.500), Pt at (0.500, 0.500, 0.500) and N at (0.000, 0.000, 0.000).

This record from Alexandria via LeMat-Bulk describes a relaxed LiPtSe2N crystal. The functional is GGA-PBEsol.

The calculation puts the raw formation energy at 179 meV/atom.

The structure belongs to space group P4/mmm (No. 123); the cell edges are 5.253, 5.253 and 3.598 Å and the angles 90.00°, 90.00° and 90.00°. Symmetry generates all atoms from Li at (0.000, 0.000, 0.000), Pt at (0.500, 0.500, 0.500), Se at (0.000, 0.500, 0.500) and N at (0.500, 0.500, 0.000).

This record from Alexandria via LeMat-Bulk describes a relaxed LiReN2 crystal. The functional is GGA-PBEsol.

The calculation puts the raw formation energy at -98 meV/atom. Its excess energy over the best structure of this formula in the dataset is 170.9 meV per atom.

The structure belongs to space group R-3m (No. 166, hexagonal axes); the cell edges are 2.9275, 2.9275 and 18.1273 Å and the angles 90.00°, 90.00° and 120.00°. Symmetry generates all atoms from Li at (0.0000, 0.0000, 0.0000), Re at (0.0000, 0.0000, 0.5000) and N at (0.0000, 0.0000, 0.1019).

This record from Alexandria via LeMat-Bulk describes a relaxed LiReN2 crystal. The functional is GGA-PBEsol.

The calculation puts the raw formation energy at -252 meV/atom. Its excess energy over the best structure of this formula in the dataset is 17.0 meV per atom.

The structure belongs to space group Pna2_1 (No. 33); the cell edges are 5.509, 6.435 and 5.514 Å and the angles 90.00°, 90.00° and 90.00°. Symmetry generates all atoms from Li at (0.090, 0.125, 0.000), Re at (0.063, 0.635, 0.993), N at (0.053, 0.602, 0.655) and N at (0.105, 0.132, 0.608).

This record from Alexandria via LeMat-Bulk describes a relaxed LiReN2 crystal. The functional is GGA-PBEsol.

The calculation puts the raw formation energy at -269 meV/atom. Its excess energy over the best structure of this formula in the dataset is 0.0 meV per atom.

The structure belongs to space group I-42d (No. 122); the cell edges are 4.603, 4.603 and 9.263 Å and the angles 90.00°, 90.00° and 90.00°. Symmetry generates all atoms from Li at (0.000, 0.000, 0.000), Re at (0.000, 0.000, 0.500) and N at (0.205, 0.250, 0.625).

This record from Alexandria via LeMat-Bulk describes a relaxed LiReN3 crystal. The functional is GGA-PBEsol.

The calculation puts the raw formation energy at 181 meV/atom.

The structure belongs to space group Pm-3m (No. 221); the cell edges are 3.866, 3.866 and 3.866 Å and the angles 90.00°, 90.00° and 90.00°. Symmetry generates all atoms from Li at (0.000, 0.000, 0.000), Re at (0.500, 0.500, 0.500) and N at (0.000, 0.500, 0.500).

This record from Alexandria via LeMat-Bulk describes a relaxed LiRhSe2N crystal. The functional is GGA-PBEsol.

The calculation puts the raw formation energy at 73 meV/atom.

The structure belongs to space group P4/mmm (No. 123); the cell edges are 5.134, 5.134 and 3.557 Å and the angles 90.00°, 90.00° and 90.00°. Symmetry generates all atoms from Li at (0.000, 0.000, 0.000), Rh at (0.500, 0.500, 0.500), Se at (0.000, 0.500, 0.500) and N at (0.500, 0.500, 0.000).

This record from Alexandria via LeMat-Bulk describes a relaxed LiRhSeN2 crystal. The functional is GGA-PBEsol.

The calculation puts the raw formation energy at 1602 meV/atom. Its excess energy over the best structure of this formula in the dataset is 1090.9 meV per atom.

The structure belongs to space group P4/mmm (No. 123); the cell edges are 3.618, 3.618 and 4.364 Å and the angles 90.00°, 90.00° and 90.00°. Symmetry generates all atoms from Li at (0.000, 0.000, 0.000), Rh at (0.500, 0.500, 0.500), Se at (0.000, 0.000, 0.500) and N at (0.000, 0.500, 0.000).

This record from Alexandria via LeMat-Bulk describes a relaxed LiRhSeN2 crystal. The functional is GGA-PBEsol.

The calculation puts the raw formation energy at 511 meV/atom. Its excess energy over the best structure of this formula in the dataset is 0.0 meV per atom.

The structure belongs to space group P4/mmm (No. 123); the cell edges are 3.720, 3.720 and 5.374 Å and the angles 90.00°, 90.00° and 90.00°. Symmetry generates all atoms from Li at (0.000, 0.000, 0.000), Rh at (0.500, 0.500, 0.500), Se at (0.500, 0.500, 0.000) and N at (0.000, 0.500, 0.500).

This record from Alexandria via LeMat-Bulk describes a relaxed LiTe2RhN crystal. The functional is GGA-PBEsol.

The calculation puts the raw formation energy at 795 meV/atom.

The structure belongs to space group P4/mmm (No. 123); the cell edges are 4.936, 4.936 and 3.312 Å and the angles 90.00°, 90.00° and 90.00°. Symmetry generates all atoms from Li at (0.000, 0.000, 0.000), Te at (0.000, 0.500, 0.000), Rh at (0.500, 0.500, 0.500) and N at (0.000, 0.000, 0.500).

This record from Alexandria via LeMat-Bulk describes a relaxed LiRuN2 crystal. The functional is GGA-PBEsol.

The calculation puts the raw formation energy at 752 meV/atom.

The structure belongs to space group R-3m (No. 166, hexagonal axes); the cell edges are 2.7985, 2.7985 and 19.2797 Å and the angles 90.00°, 90.00° and 120.00°. Symmetry generates all atoms from Li at (0.0000, 0.0000, 0.0000), Ru at (0.0000, 0.0000, 0.5000) and N at (0.0000, 0.0000, 0.4077).

This record from Alexandria via LeMat-Bulk describes a relaxed Li6RuN4 crystal. The functional is GGA-PBEsol.

The calculation puts the raw formation energy at -455 meV/atom.

The structure belongs to space group P4_2/nmc (No. 137, origin choice 2); the cell edges are 6.579, 6.579 and 4.857 Å and the angles 90.00°, 90.00° and 90.00°. Symmetry generates all atoms from Li at (0.036, 0.536, 0.250), Li at (0.250, 0.250, 0.154), Ru at (0.250, 0.750, 0.750) and N at (0.004, 0.750, 0.559).

This record from Alexandria via LeMat-Bulk describes a relaxed LiS2N2 crystal. The functional is GGA-PBEsol.

The calculation puts the raw formation energy at 913 meV/atom.

The structure belongs to space group P4/mmm (No. 123); the cell edges are 3.387, 3.387 and 4.949 Å and the angles 90.00°, 90.00° and 90.00°. Symmetry generates all atoms from Li at (0.000, 0.000, 0.000), S at (0.500, 0.500, 0.000), S at (0.500, 0.500, 0.500) and N at (0.000, 0.500, 0.500).

This record from Alexandria via LeMat-Bulk describes a relaxed LiSN2 crystal. The functional is GGA-PBEsol.

The calculation puts the raw formation energy at 411 meV/atom.

The structure belongs to space group I-42d (No. 122); the cell edges are 4.469, 4.469 and 8.193 Å and the angles 90.00°, 90.00° and 90.00°. Symmetry generates all atoms from Li at (0.000, 0.000, 0.000), S at (0.000, 0.000, 0.500) and N at (0.180, 0.250, 0.625).

This record from Alexandria via LeMat-Bulk describes a relaxed Li2SN crystal. The functional is GGA-PBEsol.

The calculation puts the raw formation energy at 54 meV/atom.

The structure belongs to space group I-42d (No. 122); the cell edges are 3.531, 3.531 and 14.031 Å and the angles 90.00°, 90.00° and 90.00°. Symmetry generates all atoms from Li at (0.193, 0.250, 0.125), S at (0.000, 0.000, 0.500) and N at (0.000, 0.000, 0.000).

This record from Alexandria via LeMat-Bulk describes a relaxed Li9S3N crystal. The functional is GGA-PBEsol.

The calculation puts the raw formation energy at -1071 meV/atom.

The structure belongs to space group Pm-3m (No. 221); the cell edges are 5.450, 5.450 and 5.450 Å and the angles 90.00°, 90.00° and 90.00°. Symmetry generates all atoms from Li at (0.000, 0.000, 0.000), Li at (0.283, 0.283, 0.283), S at (0.000, 0.000, 0.500) and N at (0.500, 0.500, 0.500).

This record from Alexandria via LeMat-Bulk describes a relaxed LiSiS2N crystal. The functional is GGA-PBEsol.

The calculation puts the raw formation energy at -115 meV/atom.

The structure belongs to space group P4/mmm (No. 123); the cell edges are 4.885, 4.885 and 3.226 Å and the angles 90.00°, 90.00° and 90.00°. Symmetry generates all atoms from Li at (0.000, 0.000, 0.000), Si at (0.500, 0.500, 0.500), S at (0.000, 0.500, 0.500) and N at (0.500, 0.500, 0.000).

It is found that the final energy values, taken in the order of the records, are -4.761; -4.578; -2.565; -3.825; -5.773; -5.380; -4.180; -4.627; -5.339; -4.239; -4.853; -8.186; -8.340; -8.357; -7.995; -5.193; -4.600; -5.691; -4.342; -6.546; -5.553; -4.644; -5.440; -4.157; -4.100; -5.116 eV per atom.